{"formula": "Pr7Y12Tl", "functional": "PBE", "state": "relaxed", "magnetic_moment_mub_per_fu": 0.00, "space_group": "R-3", "dft_energy_ry_per_atom": -0.406, "delta_e_f_kcal_per_mol_atoms": 3.512, "lattice": [[8.588, 1.659, -1.336], [-1.777, 8.565, -1.336], [1.105, 1.659, 8.621]], "species": ["Pr", "Pr", "Pr", "Pr", "Pr", "Pr", "Pr", "Y", "Y", "Y", "Y", "Y", "Y", "Y", "Y", "Y", "Y", "Y", "Y", "Tl"], "frac_coords": [[0.217, 0.614, 0.767], [0.386, 0.233, 0.783], [0.233, 0.783, 0.386], [0.500, 0.500, 0.500], [0.767, 0.217, 0.614], [0.614, 0.767, 0.217], [0.783, 0.386, 0.233], [0.004, 0.332, 0.891], [0.668, 0.109, 0.996], [0.460, 0.121, 0.341], [0.879, 0.659, 0.540], [0.109, 0.996, 0.668], [0.659, 0.540, 0.879], [0.341, 0.460, 0.121], [0.891, 0.004, 0.332], [0.121, 0.341, 0.460], [0.540, 0.879, 0.659], [0.332, 0.891, 0.004], [0.996, 0.668, 0.109], [0.000, 0.000, 0.000]]}